## Sc7InGa5 (PBE)

Data for Sc7InGa5 after structural relaxation.

energy of formation = -480.0 kJ/mol of formula units
D(E_F) = 12.91 states/eV/f.u.
total energy = -67.17 eV for the cell shown

```
Sc7InGa5
1.0
-2.8843 4.8504 4.8443
2.8843 -4.8504 4.8443
2.8843 4.8504 -4.8443
Sc In Ga
7 1 5
Direct
0.0000 0.0000 0.0000
0.2889 0.6137 0.6752
0.3476 0.3476 0.0000
0.4195 0.0916 0.3279
0.7638 0.0916 0.6721
0.8431 0.3431 0.5000
0.9385 0.6137 0.3248
0.6635 0.6635 0.0000
0.0972 0.1031 0.4841
0.0972 0.6131 0.9941
0.3485 0.8485 0.5000
0.6190 0.1031 0.0059
0.6190 0.6131 0.5159
```